[1]
Compound: TlCdSiHg2
Source: Alexandria
Functional: meta-GGA SCAN
Structure: PBEsol geometry

Cell lengths 5.059, 5.059, 5.323 Å; angles 90.00, 90.00, 90.00 degrees
Element x y z (fractional)
1 Tl 0.000 0.000 0.500
2 Si 0.000 0.000 0.000
3 Hg 0.000 0.500 0.000
4 Hg 0.500 0.000 0.000
5 Cd 0.500 0.500 0.500

Formation energy from raw total energies = 1.447 eV per formula unit
Crystal system = tetragonal
V = 136.3 Å³/f.u.
Energy = -247.67 eV/cell


[2]
Compound: SbPd2
Source: Alexandria
Functional: meta-GGA SCAN
Structure: PBEsol geometry

Cell lengths 3.373, 6.936, 8.918 Å; angles 90.00, 100.90, 90.00 degrees
Element x y z (fractional)
1 Sb 0.557 0.802 0.114
2 Sb 0.443 0.302 0.886
3 Sb 0.205 0.273 0.411
4 Sb 0.795 0.773 0.589
5 Pd 0.961 0.994 0.922
6 Pd 0.039 0.494 0.078
7 Pd 0.176 0.896 0.351
8 Pd 0.824 0.396 0.649
9 Pd 0.330 0.049 0.660
10 Pd 0.670 0.549 0.340
11 Pd 0.586 0.173 0.173
12 Pd 0.414 0.673 0.827

Formation energy from raw total energies = -1.425 eV per formula unit
Crystal system = orthorhombic
V = 51.2 Å³/f.u.
Energy = -416.94 eV/cell


[3]
Compound: Tc2NiBr
Source: Alexandria
Functional: meta-GGA SCAN
Structure: PBEsol geometry

Cell lengths 4.307, 4.307, 4.307 Å; angles 60.00, 60.00, 60.00 degrees
Element x y z (fractional)
1 Br 0.500 0.500 0.500
2 Ni 0.250 0.250 0.250
3 Tc 0.000 0.000 0.000
4 Tc 0.750 0.750 0.750

Formation energy from raw total energies = 4.143 eV per formula unit
Relative energy among the computed polymorphs = 0 meV per atom
Crystal system = cubic
V = 56.5 Å³/f.u.
Energy = -101.61 eV/cell


[4]
Compound: RbSbOF2
Source: Alexandria
Functional: meta-GGA SCAN
Structure: PBEsol geometry

Cell lengths 4.247, 4.598, 4.598 Å; angles 90.00, 90.00, 90.00 degrees
Element x y z (fractional)
1 Sb 0.000 0.000 0.000
2 O 0.500 0.000 0.000
3 Rb 0.500 0.500 0.500
4 F 0.000 0.000 0.500
5 F 0.000 0.500 0.000

Formation energy from raw total energies = -10.230 eV per formula unit
Crystal system = tetragonal
V = 89.8 Å³/f.u.
Energy = -81.54 eV/cell